Below is a geometry-optimized YZrSN2 structure, with properties calculated at the GGA-PBE level.

Output
Space group = P4/mmm (123)
Energy above the lowest structure with this stoichiometry = 0.000 eV per formula unit

Unit cell a=4.171 b=4.171 c=5.050 alpha=90.00 beta=90.00 gamma=90.00
Positions (direct):
Y  0.000  0.000  0.000
Zr  0.500  0.500  0.500
S  0.500  0.500  0.000
N  0.000  0.500  0.500
N  0.500  0.000  0.500

Below is a geometry-optimized AcSmSi2Pt5 structure, with properties calculated at the GGA-PBE level.

Output
Space group = P4/mmm (123)
VASP energy = -6.53 eV per atom

Unit cell a=4.355 b=4.355 c=9.035 alpha=90.00 beta=90.00 gamma=90.00
Positions (direct):
Ac  0.000  0.000  0.000
Sm  0.000  0.000  0.500
Si  0.500  0.500  0.366
Si  0.500  0.500  0.634
Pt  0.000  0.500  0.248
Pt  0.000  0.500  0.752
Pt  0.500  0.000  0.248
Pt  0.500  0.000  0.752
Pt  0.500  0.500  0.000

Below is a geometry-optimized Pm12ZnSi6 structure, with properties calculated at the GGA-PBE level.

Output
Space group = Im-3 (204)
VASP energy = -5.25 eV per atom

Unit cell a=8.823 b=8.823 c=8.823 alpha=109.47 beta=109.47 gamma=109.47
Positions (direct):
Pm  0.107  0.295  0.812
Pm  0.188  0.483  0.295
Pm  0.188  0.893  0.705
Pm  0.295  0.188  0.483
Pm  0.295  0.812  0.107
Pm  0.483  0.295  0.188
Pm  0.517  0.705  0.812
Pm  0.705  0.188  0.893
Pm  0.705  0.812  0.517
Pm  0.812  0.107  0.295
Pm  0.812  0.517  0.705
Pm  0.893  0.705  0.188
Zn  0.000  0.000  0.000
Si  0.115  0.500  0.615
Si  0.385  0.885  0.500
Si  0.500  0.385  0.885
Si  0.500  0.615  0.115
Si  0.615  0.115  0.500
Si  0.885  0.500  0.385

Below is a geometry-optimized CdGeIN2 structure, with properties calculated at the GGA-PBE level.

Output
Space group = P4/mmm (123)
Energy above the lowest structure with this stoichiometry = 0.000 eV per formula unit

Unit cell a=3.931 b=3.931 c=6.757 alpha=90.00 beta=90.00 gamma=90.00
Positions (direct):
Cd  0.000  0.000  0.000
Ge  0.500  0.500  0.500
I  0.500  0.500  0.000
N  0.000  0.500  0.500
N  0.500  0.000  0.500

Below is a geometry-optimized TiAu structure, with properties calculated at the GGA-PBE level.

Output
E_form = 22 meV/atom
Space group = Fm-3m (225)

Unit cell a=3.819 b=3.819 c=3.819 alpha=60.00 beta=60.00 gamma=60.00
Positions (direct):
Ti  0.000  0.000  0.000
Au  0.500  0.500  0.500

Below is a geometry-optimized Ce3NiOs structure, with properties calculated at the GGA-PBE level.

Output
E_form = -118 meV/atom
Space group = R-3 (148)
Energy above the lowest structure with this stoichiometry = 0.390 eV per formula unit

Unit cell a=7.397 b=7.397 c=7.397 alpha=54.98 beta=54.98 gamma=54.98
Positions (direct):
Ce  0.110  0.389  0.748
Ce  0.252  0.890  0.611
Ce  0.389  0.748  0.110
Ce  0.611  0.252  0.890
Ce  0.748  0.110  0.389
Ce  0.890  0.611  0.252
Ni  0.177  0.177  0.177
Ni  0.823  0.823  0.823
Os  0.324  0.324  0.324
Os  0.676  0.676  0.676

Below is a geometry-optimized Fe2SbSe structure, with properties calculated at the GGA-PBE level.

Output
Space group = C2/m (12)
Energy above the lowest structure with this stoichiometry = 1.003 eV per formula unit

Unit cell a=4.051 b=4.051 c=5.893 alpha=104.98 beta=104.98 gamma=47.66
Positions (direct):
Fe  0.248  0.248  0.184
Fe  0.752  0.752  0.816
Sb  0.000  0.000  0.500
Se  0.500  0.500  0.000

Below is a geometry-optimized GdPuNiAu structure, with properties calculated at the GGA-PBE level.

Output
E_form = -308 meV/atom
Space group = F-43m (216)

Unit cell a=5.008 b=5.008 c=5.008 alpha=60.00 beta=60.00 gamma=60.00
Positions (direct):
Gd  0.000  0.000  0.000
Pu  0.500  0.500  0.500
Ni  0.250  0.250  0.250
Au  0.750  0.750  0.750

Below is a geometry-optimized HfCd2S4 structure, with properties calculated at the GGA-PBE level.

Output
Space group = C2/m (12)
Energy above the lowest structure with this stoichiometry = 0.308 eV per formula unit

Unit cell a=6.776 b=6.776 c=6.926 alpha=106.64 beta=106.64 gamma=33.56
Positions (direct):
Hf  0.000  0.000  0.000
Cd  0.333  0.333  0.386
Cd  0.667  0.667  0.614
S  0.125  0.125  0.365
S  0.388  0.388  0.072
S  0.612  0.612  0.928
S  0.875  0.875  0.635

Below is a geometry-optimized LaMn2Fe structure, with properties calculated at the GGA-PBE level.

Output
E_form = 527 meV/atom
Space group = Fm-3m (225)
Energy above the lowest structure with this stoichiometry = 1.294 eV per formula unit

Unit cell a=4.572 b=4.572 c=4.572 alpha=60.00 beta=60.00 gamma=60.00
Positions (direct):
La  0.000  0.000  0.000
Mn  0.250  0.250  0.250
Mn  0.750  0.750  0.750
Fe  0.500  0.500  0.500

Below is a geometry-optimized CrTc structure, with properties calculated at the GGA-PBE level.

Output
E_form = 675 meV/atom
Space group = Immm (71)

Unit cell a=3.488 b=3.488 c=3.488 alpha=134.20 beta=99.63 gamma=97.79
Positions (direct):
Cr  0.000  0.000  0.000
Tc  0.500  0.500  0.000

Below is a geometry-optimized K2TeI4Br2 structure, with properties calculated at the GGA-PBE level.

Output
Space group = C2/m (12)
VASP energy = -2.47 eV per atom

Unit cell a=8.068 b=8.068 c=8.264 alpha=120.26 beta=120.26 gamma=61.45
Positions (direct):
K  0.244  0.244  0.253
K  0.756  0.756  0.747
Te  0.000  0.000  0.500
I  0.209  0.703  0.209
I  0.297  0.791  0.791
I  0.703  0.209  0.209
I  0.791  0.297  0.791
Br  0.238  0.238  0.654
Br  0.762  0.762  0.346